The following is a DFT calculation (PBE-GGA) of KRb2Na2Hg2 after structural relaxation.

Calculated values
* final energy: -1.00 eV/atom
* crystal system: monoclinic
* formation enthalpy at 0 K: -0.11 eV/atom
* space group: C2/m, No. 12
* size of the total moment: 0.0000 μB/atom

a b c (Å): 5.5586 7.1307 10.5973
angles (deg): 112.93 90.00 112.94
Last column: nearest neighbours and their distance in Å.
Sites, in units of the cell vectors:
Rb (0.4066, 0.8132, 0.1377)  4 Hg 3.74-4.16, 1 Na 4.14
Na (0.2452, 0.4904, 0.3991)  2 Hg 3.14, 2 Na 3.48
Rb (0.5934, 0.1868, 0.8623)  4 Hg 3.74-4.16, 1 Na 4.14
Hg (0.2755, 0.5510, 0.7485)  2 Na 3.14, 1 K 3.46
Na (0.7548, 0.5096, 0.6009)  2 Hg 3.14, 2 Na 3.48
K (0.0000, 0.0000, 0.5000)  2 Hg 3.46, 2 Na 3.80
Hg (0.7245, 0.4490, 0.2515)  2 Na 3.14, 1 K 3.46

***

The following is a DFT calculation (PBE-GGA) of ScNbTc after structural relaxation.

Calculated values
* final energy: -9.05 eV/atom
* crystal system: monoclinic
* formation enthalpy at 0 K: -0.13 eV/atom
* space group: Cm, No. 8
* size of the total moment: 0.0000 μB/atom

a b c (Å): 5.7458 4.5135 9.9955
angles (deg): 90.00 124.83 90.00
Last column: nearest neighbours and their distance in Å.
Sites, in units of the cell vectors:
Nb (0.3196, 0.5000, 0.9459)  4 Tc 2.81-2.88, 3 Nb 2.95-3.13, 2 Sc 3.00-3.03
Tc (0.9940, 0.0000, 0.7732)  4 Nb 2.69-2.81, 1 Tc 2.74, 3 Sc 2.83-2.88
Sc (0.5167, 0.0000, 0.7956)  4 Tc 2.75-2.88, 2 Sc 2.97, 2 Nb 3.00-3.03
Tc (0.8278, 0.5000, 0.9556)  4 Sc 2.72-2.75, 3 Nb 2.73-2.88, 1 Tc 2.74
Nb (0.3196, 0.0000, 0.4459)  4 Tc 2.81-2.88, 3 Nb 2.95-3.13, 2 Sc 3.00-3.03
Nb (0.6880, 0.5000, 0.6442)  3 Tc 2.69-2.73, 2 Sc 2.89-2.91, 2 Nb 2.95
Tc (0.8278, 0.0000, 0.4556)  4 Sc 2.72-2.75, 3 Nb 2.73-2.88, 1 Tc 2.74
Tc (0.9940, 0.5000, 0.2732)  4 Nb 2.69-2.81, 1 Tc 2.74, 3 Sc 2.83-2.88
Nb (0.6880, 0.0000, 0.1442)  3 Tc 2.69-2.73, 2 Sc 2.89-2.91, 2 Nb 2.95
Sc (0.5167, 0.5000, 0.2956)  4 Tc 2.75-2.88, 2 Sc 2.97, 2 Nb 3.00-3.03
Sc (0.1410, 0.0000, 0.0958)  3 Tc 2.72-2.83, 3 Nb 2.89-3.03, 2 Sc 2.97
Sc (0.1410, 0.5000, 0.5958)  3 Tc 2.72-2.83, 3 Nb 2.89-3.03, 2 Sc 2.97

***

Which value of formation enthalpy at 0 K does entry 2 give?
-0.13 eV/atom

***

What is the formula in the first record?
KRb2Na2Hg2

***

Which formula does entry 2 have?
ScNbTc